# BaLaP (PBE, relaxed)
# Fermi-level density of states: 1.96 states/eV/f.u.
# total magnetic moment: 0.00 μB/atom
# volume: 213.2 Å³ per cell
# ΔE_f: -0.760 eV/atom
# crystal system: tetragonal
# final energy: -4.85 eV/atom
data_BaLaP
_space_group_name_H-M_alt 'I 4 m m'
_space_group_IT_number 107
_space_group_name_Hall 'I 4 -2'
_cell_length_a 3.8643
_cell_length_b 3.8643
_cell_length_c 14.2800
_cell_angle_alpha 90.00
_cell_angle_beta 90.00
_cell_angle_gamma 90.00
loop_
_atom_site_label
_atom_site_type_symbol
_atom_site_fract_x
_atom_site_fract_y
_atom_site_fract_z
Ba1 Ba 0.0000 0.0000 0.0000
La1 La 0.0000 0.0000 0.2363
P1 P 0.0000 0.0000 0.6481

=====

# Ac4AsPtBr2 (PBE, relaxed)
# Fermi-level density of states: 5.71 states/eV/f.u.
# total magnetic moment: 0.00 μB/atom
# volume: 274.8 Å³ per cell
# crystal system: monoclinic
# final energy: -5.14 eV/atom
# formation energy from raw total energies: -128 kJ/mol of atoms
data_Ac4AsPtBr2
_space_group_name_H-M_alt 'P 1 2/m 1'
_space_group_IT_number 10
_cell_length_a 8.0828
_cell_length_b 4.3920
_cell_length_c 8.1296
_cell_angle_alpha 90.00
_cell_angle_beta 107.77
_cell_angle_gamma 90.00
loop_
_space_group_symop_operation_xyz
'x,y,z'
'-x,-y,-z'
'-x,y,-z'
'x,-y,z'
loop_
_atom_site_label
_atom_site_type_symbol
_atom_site_fract_x
_atom_site_fract_y
_atom_site_fract_z
Ac1 Ac 0.2052 0.0000 0.2194
Ac2 Ac 0.2188 0.5000 0.7427
As1 As 0.0000 0.0000 0.5000
Pt1 Pt 0.0000 0.5000 0.0000
Br1 Br 0.5000 0.0000 0.0000
Br2 Br 0.5000 0.5000 0.5000

=====

# YFeOs (PBE, relaxed)
# Fermi-level density of states: 3.32 states/eV/f.u.
# total magnetic moment: 0.81 μB/atom
# volume: 52.9 Å³ per cell
# ΔE_f: 0.605 eV/atom
# crystal system: trigonal
# final energy: -8.11 eV/atom
data_YFeOs
_space_group_name_H-M_alt 'P 3 m 1'
_space_group_IT_number 156
_cell_length_a 3.0138
_cell_length_b 3.0138
_cell_length_c 6.7268
_cell_angle_alpha 90.00
_cell_angle_beta 90.00
_cell_angle_gamma 120.00
loop_
_space_group_symop_operation_xyz
'x,y,z'
'-y,x-y,z'
'-x+y,-x,z'
'-y,-x,z'
'-x+y,y,z'
'x,x-y,z'
loop_
_atom_site_label
_atom_site_type_symbol
_atom_site_fract_x
_atom_site_fract_y
_atom_site_fract_z
Y1 Y 0.0000 0.0000 0.0000
Fe1 Fe 0.6667 0.3333 0.3639
Os1 Os 0.3333 0.6667 0.6359

=====

# Ce2PaGe4Pt3 (PBE, relaxed)
# Fermi-level density of states: 16.70 states/eV/f.u.
# total magnetic moment: 0.22 μB/atom
# volume: 211.7 Å³ per cell
# ΔE_f: -0.755 eV/atom
# crystal system: tetragonal
# final energy: -6.55 eV/atom
data_Ce2PaGe4Pt3
_space_group_name_H-M_alt 'P -4 m 2'
_space_group_IT_number 115
_cell_length_a 4.3247
_cell_length_b 4.3247
_cell_length_c 11.3188
_cell_angle_alpha 90.00
_cell_angle_beta 90.00
_cell_angle_gamma 90.00
loop_
_space_group_symop_operation_xyz
'x,y,z'
'y,-x,-z'
'-x,-y,z'
'-y,x,-z'
'-x,y,z'
'-y,-x,-z'
'x,-y,z'
'y,x,-z'
loop_
_atom_site_label
_atom_site_type_symbol
_atom_site_fract_x
_atom_site_fract_y
_atom_site_fract_z
Ce1 Ce 0.0000 0.5000 0.2279
Pa1 Pa 0.0000 0.0000 0.5000
Ge1 Ge 0.0000 0.0000 0.0000
Ge2 Ge 0.0000 0.5000 0.6669
Ge3 Ge 0.5000 0.5000 0.0000
Pt1 Pt 0.0000 0.5000 0.8851
Pt2 Pt 0.5000 0.5000 0.5000